# PmEuCdAg | Alexandria | PBE-GGA | optimized geometry
data_PmEuCdAg
_chemical_formula_sum 'Pm4 Eu4 Cd4 Ag4'
_symmetry_space_group_name_H-M 'F -4 3 m'
_symmetry_Int_Tables_number 216
_symmetry_space_group_name_Hall 'F -4 2 3'
_cell_length_a 7.642
_cell_length_b 7.642
_cell_length_c 7.642
_cell_angle_alpha 90.00
_cell_angle_beta 90.00
_cell_angle_gamma 90.00
loop_
_atom_site_label
_atom_site_fract_x
_atom_site_fract_y
_atom_site_fract_z
_atom_site_occupancy
Pm1 0.000 0.000 0.000 1
Eu1 0.000 0.000 0.500 1
Cd1 0.250 0.250 0.250 1
Ag1 0.250 0.250 0.750 1
# Size of the total moment = 28.9 μB/cell
# DFT formation energy = -0.282 eV/atom
# Raw total energy = -4.9798 eV/atom


# EuPuCdAg | Alexandria | PBE-GGA | optimized geometry
data_EuPuCdAg
_chemical_formula_sum 'Eu4 Pu4 Cd4 Ag4'
_symmetry_space_group_name_H-M 'F -4 3 m'
_symmetry_Int_Tables_number 216
_symmetry_space_group_name_Hall 'F -4 2 3'
_cell_length_a 7.615
_cell_length_b 7.615
_cell_length_c 7.615
_cell_angle_alpha 90.00
_cell_angle_beta 90.00
_cell_angle_gamma 90.00
loop_
_atom_site_label
_atom_site_fract_x
_atom_site_fract_y
_atom_site_fract_z
_atom_site_occupancy
Eu1 0.000 0.000 0.000 1
Pu1 0.000 0.000 0.500 1
Cd1 0.250 0.250 0.250 1
Ag1 0.250 0.250 0.750 1
# Size of the total moment = 51.9 μB/cell
# DFT formation energy = -0.049 eV/atom
# Raw total energy = -7.1417 eV/atom


# EuCdAgRh | Alexandria | PBE-GGA | optimized geometry
data_EuCdAgRh
_chemical_formula_sum 'Eu4 Cd4 Ag4 Rh4'
_symmetry_space_group_name_H-M 'F -4 3 m'
_symmetry_Int_Tables_number 216
_symmetry_space_group_name_Hall 'F -4 2 3'
_cell_length_a 6.948
_cell_length_b 6.948
_cell_length_c 6.948
_cell_angle_alpha 90.00
_cell_angle_beta 90.00
_cell_angle_gamma 90.00
loop_
_atom_site_label
_atom_site_fract_x
_atom_site_fract_y
_atom_site_fract_z
_atom_site_occupancy
Eu1 0.000 0.000 0.000 1
Cd1 0.000 0.000 0.500 1
Ag1 0.250 0.250 0.750 1
Rh1 0.250 0.250 0.250 1
# Size of the total moment = 27.5 μB/cell
# DFT formation energy = -0.175 eV/atom
# Raw total energy = -5.5234 eV/atom


# SmEuCdAg | Alexandria | PBE-GGA | optimized geometry
data_SmEuCdAg
_chemical_formula_sum 'Sm4 Eu4 Cd4 Ag4'
_symmetry_space_group_name_H-M 'F -4 3 m'
_symmetry_Int_Tables_number 216
_symmetry_space_group_name_Hall 'F -4 2 3'
_cell_length_a 7.620
_cell_length_b 7.620
_cell_length_c 7.620
_cell_angle_alpha 90.00
_cell_angle_beta 90.00
_cell_angle_gamma 90.00
loop_
_atom_site_label
_atom_site_fract_x
_atom_site_fract_y
_atom_site_fract_z
_atom_site_occupancy
Sm1 0.000 0.000 0.000 1
Eu1 0.000 0.000 0.500 1
Cd1 0.250 0.250 0.750 1
Ag1 0.250 0.250 0.250 1
# Size of the total moment = 28.8 μB/cell
# DFT formation energy = -0.281 eV/atom
# Raw total energy = -4.9711 eV/atom


# EuCdAgSn | Alexandria | PBE-GGA | optimized geometry
data_EuCdAgSn
_chemical_formula_sum 'Eu4 Cd4 Ag4 Sn4'
_symmetry_space_group_name_H-M 'F -4 3 m'
_symmetry_Int_Tables_number 216
_symmetry_space_group_name_Hall 'F -4 2 3'
_cell_length_a 7.334
_cell_length_b 7.334
_cell_length_c 7.334
_cell_angle_alpha 90.00
_cell_angle_beta 90.00
_cell_angle_gamma 90.00
loop_
_atom_site_label
_atom_site_fract_x
_atom_site_fract_y
_atom_site_fract_z
_atom_site_occupancy
Eu1 0.000 0.000 0.000 1
Cd1 0.000 0.000 0.500 1
Ag1 0.250 0.250 0.750 1
Sn1 0.250 0.250 0.250 1
# Size of the total moment = 27.9 μB/cell
# DFT formation energy = -0.306 eV/atom
# Raw total energy = -4.8167 eV/atom


# SrEuCdAg | Alexandria | PBE-GGA | optimized geometry
data_SrEuCdAg
_chemical_formula_sum 'Sr4 Eu4 Cd4 Ag4'
_symmetry_space_group_name_H-M 'F -4 3 m'
_symmetry_Int_Tables_number 216
_symmetry_space_group_name_Hall 'F -4 2 3'
_cell_length_a 7.875
_cell_length_b 7.875
_cell_length_c 7.875
_cell_angle_alpha 90.00
_cell_angle_beta 90.00
_cell_angle_gamma 90.00
loop_
_atom_site_label
_atom_site_fract_x
_atom_site_fract_y
_atom_site_fract_z
_atom_site_occupancy
Sr1 0.000 0.000 0.000 1
Eu1 0.000 0.000 0.500 1
Cd1 0.250 0.250 0.750 1
Ag1 0.250 0.250 0.250 1
# Size of the total moment = 29.4 μB/cell
# DFT formation energy = -0.286 eV/atom
# Raw total energy = -4.2164 eV/atom


# TbEuCdAg | Alexandria | PBE-GGA | optimized geometry
data_TbEuCdAg
_chemical_formula_sum 'Tb4 Eu4 Cd4 Ag4'
_symmetry_space_group_name_H-M 'F -4 3 m'
_symmetry_Int_Tables_number 216
_symmetry_space_group_name_Hall 'F -4 2 3'
_cell_length_a 7.555
_cell_length_b 7.555
_cell_length_c 7.555
_cell_angle_alpha 90.00
_cell_angle_beta 90.00
_cell_angle_gamma 90.00
loop_
_atom_site_label
_atom_site_fract_x
_atom_site_fract_y
_atom_site_fract_z
_atom_site_occupancy
Tb1 0.000 0.000 0.000 1
Eu1 0.000 0.000 0.500 1
Cd1 0.250 0.250 0.250 1
Ag1 0.250 0.250 0.750 1
# Size of the total moment = 28.8 μB/cell
# DFT formation energy = -0.280 eV/atom
# Raw total energy = -4.9474 eV/atom


# EuThCdAg | Alexandria | PBE-GGA | optimized geometry
data_EuThCdAg
_chemical_formula_sum 'Eu4 Th4 Cd4 Ag4'
_symmetry_space_group_name_H-M 'F -4 3 m'
_symmetry_Int_Tables_number 216
_symmetry_space_group_name_Hall 'F -4 2 3'
_cell_length_a 7.638
_cell_length_b 7.638
_cell_length_c 7.638
_cell_angle_alpha 90.00
_cell_angle_beta 90.00
_cell_angle_gamma 90.00
loop_
_atom_site_label
_atom_site_fract_x
_atom_site_fract_y
_atom_site_fract_z
_atom_site_occupancy
Eu1 0.000 0.000 0.000 1
Th1 0.000 0.000 0.500 1
Cd1 0.250 0.250 0.750 1
Ag1 0.250 0.250 0.250 1
# Size of the total moment = 29.0 μB/cell
# DFT formation energy = -0.107 eV/atom
# Raw total energy = -5.4720 eV/atom


# EuYCdAg | Alexandria | PBE-GGA | optimized geometry
data_EuYCdAg
_chemical_formula_sum 'Eu4 Y4 Cd4 Ag4'
_symmetry_space_group_name_H-M 'F -4 3 m'
_symmetry_Int_Tables_number 216
_symmetry_space_group_name_Hall 'F -4 2 3'
_cell_length_a 7.552
_cell_length_b 7.552
_cell_length_c 7.552
_cell_angle_alpha 90.00
_cell_angle_beta 90.00
_cell_angle_gamma 90.00
loop_
_atom_site_label
_atom_site_fract_x
_atom_site_fract_y
_atom_site_fract_z
_atom_site_occupancy
Eu1 0.000 0.000 0.000 1
Y1 0.000 0.000 0.500 1
Cd1 0.250 0.250 0.750 1
Ag1 0.250 0.250 0.250 1
# Size of the total moment = 28.9 μB/cell
# DFT formation energy = -0.285 eV/atom
# Raw total energy = -5.4117 eV/atom


# EuZnCdAg | Alexandria | PBE-GGA | optimized geometry
data_EuZnCdAg
_chemical_formula_sum 'Eu4 Zn4 Cd4 Ag4'
_symmetry_space_group_name_H-M 'F -4 3 m'
_symmetry_Int_Tables_number 216
_symmetry_space_group_name_Hall 'F -4 2 3'
_cell_length_a 7.136
_cell_length_b 7.136
_cell_length_c 7.136
_cell_angle_alpha 90.00
_cell_angle_beta 90.00
_cell_angle_gamma 90.00
loop_
_atom_site_label
_atom_site_fract_x
_atom_site_fract_y
_atom_site_fract_z
_atom_site_occupancy
Eu1 0.000 0.000 0.000 1
Zn1 0.250 0.250 0.750 1
Cd1 0.000 0.000 0.500 1
Ag1 0.250 0.250 0.250 1
# Size of the total moment = 29.1 μB/cell
# DFT formation energy = -0.209 eV/atom
# Raw total energy = -4.0380 eV/atom


# CdAg3F7 | Alexandria | PBE-GGA | optimized geometry
data_CdAg3F7
_chemical_formula_sum 'Cd2 Ag6 F14'
_symmetry_space_group_name_H-M 'C 1 m 1'
_symmetry_Int_Tables_number 8
_cell_length_a 8.077
_cell_length_b 7.769
_cell_length_c 6.507
_cell_angle_alpha 90.00
_cell_angle_beta 123.79
_cell_angle_gamma 90.00
loop_
_symmetry_equiv_pos_as_xyz
'x,y,z'
'x,-y,z'
'x+1/2,y+1/2,z'
'x+1/2,-y+1/2,z'
loop_
_atom_site_label
_atom_site_fract_x
_atom_site_fract_y
_atom_site_fract_z
_atom_site_occupancy
Cd1 0.000 0.000 0.000 1
Ag1 0.490 0.000 0.031 1
Ag2 0.490 0.245 0.522 1
F1 0.077 0.229 0.264 1
F2 0.097 0.000 0.712 1
F3 0.180 0.500 0.886 1
F4 0.361 0.000 0.275 1
F5 0.383 0.252 0.760 1
# Size of the total moment = 4.1 μB/cell
# Raw total energy = -3.4178 eV/atom


# CdAg2F11 | Alexandria | PBE-GGA | optimized geometry
data_CdAg2F11
_chemical_formula_sum 'Cd4 Ag8 F44'
_symmetry_space_group_name_H-M 'I b a m'
_symmetry_Int_Tables_number 72
_symmetry_space_group_name_Hall '-I 2 2c'
_cell_length_a 9.034
_cell_length_b 9.053
_cell_length_c 10.336
_cell_angle_alpha 90.00
_cell_angle_beta 90.00
_cell_angle_gamma 90.00
loop_
_atom_site_label
_atom_site_fract_x
_atom_site_fract_y
_atom_site_fract_z
_atom_site_occupancy
Cd1 0.000 0.000 0.250 1
Ag1 0.190 0.310 0.000 1
F1 0.000 0.500 0.000 1
F2 0.077 0.208 0.135 1
F3 0.148 0.353 0.500 1
F4 0.208 0.077 0.365 1
# Size of the total moment = 0.0 μB/cell
# Raw total energy = -2.9229 eV/atom


Q: Which value of raw total energy does entry 1 give?
A: -4.9798 eV/atom